[1]
Entry from Alexandria via LeMat-Bulk: an optimized crystal structure of FeAsWBr2 (GGA-PBE).

a = 5.1892 Å, b = 5.1892 Å, c = 4.9144 Å
α = 90.00°, β = 90.00°, γ = 90.00°
Element x y z (fractional)
Fe  0.0000  0.0000  0.0000
As  0.5000  0.5000  0.0000
W  0.5000  0.5000  0.5000
Br  0.0000  0.5000  0.5000
Br  0.5000  0.0000  0.5000

Results
- space-group type = P4/mmm
- energy relative to the elements, uncorrected (meV per atom) = 1018.2
- distance to the lowest polymorph of the same formula (eV per formula unit) = 0.00

---

[2]
Entry from Alexandria via LeMat-Bulk: an optimized crystal structure of Ca3ThPb12 (GGA-PBE).

a = 4.9143 Å, b = 4.9143 Å, c = 19.8646 Å
α = 90.00°, β = 90.00°, γ = 90.00°
Element x y z (fractional)
Ca  0.0000  0.0000  0.0000
Ca  0.0000  0.0000  0.2526
Ca  0.0000  0.0000  0.7474
Th  0.0000  0.0000  0.5000
Pb  0.0000  0.5000  0.1249
Pb  0.0000  0.5000  0.3740
Pb  0.0000  0.5000  0.6260
Pb  0.0000  0.5000  0.8751
Pb  0.5000  0.0000  0.1249
Pb  0.5000  0.0000  0.3740
Pb  0.5000  0.0000  0.6260
Pb  0.5000  0.0000  0.8751
Pb  0.5000  0.5000  0.0000
Pb  0.5000  0.5000  0.2498
Pb  0.5000  0.5000  0.5000
Pb  0.5000  0.5000  0.7502

Results
- space-group type = P4/mmm
- energy of formation (meV/atom) = -295

---

[3]
Entry from Alexandria via LeMat-Bulk: an optimized crystal structure of RbIrSeBr2 (GGA-PBE).

a = 6.1086 Å, b = 6.1086 Å, c = 6.1574 Å
α = 90.00°, β = 90.00°, γ = 90.00°
Element x y z (fractional)
Rb  0.0000  0.0000  0.0000
Ir  0.5000  0.5000  0.5000
Se  0.0000  0.0000  0.5000
Br  0.0000  0.5000  0.0000
Br  0.5000  0.0000  0.0000

Results
- space-group type = P4/mmm
- energy relative to the elements, uncorrected (meV per atom) = 1476.5
- distance to the lowest polymorph of the same formula (eV per formula unit) = 9.69

---

[4]
Entry from Alexandria via LeMat-Bulk: an optimized crystal structure of YSc2Zn (GGA-PBE).

a = 3.4144 Å, b = 3.4144 Å, c = 8.1699 Å
α = 90.00°, β = 90.00°, γ = 90.00°
Element x y z (fractional)
Y  0.0000  0.0000  0.0000
Sc  0.0000  0.0000  0.4288
Sc  0.5000  0.5000  0.6983
Zn  0.5000  0.5000  0.2391

Results
- space-group type = P4mm
- energy of formation (meV/atom) = -144

---

In eV per atom, the raw total energy values for the records above are, in order, -4.86 -3.92 -1.86 -5.24.